# GGA-PBE Sc3Cu2Au, relaxed
data_Sc3Cu2Au
_cell_length_a 4.6897
_cell_length_b 4.6897
_cell_length_c 11.4902
_cell_angle_alpha 90.00
_cell_angle_beta 90.00
_cell_angle_gamma 120.00
_symmetry_space_group_name_H-M 'P 1'
_symmetry_Int_Tables_number 1
loop_
_symmetry_equiv_pos_as_xyz
'x,y,z'
loop_
_atom_site_label
_atom_site_fract_x
_atom_site_fract_y
_atom_site_fract_z
_atom_site_occupancy
Sc1 0.3333 0.6667 0.4164 1
Sc2 0.6667 0.3333 0.0782 1
Sc3 0.0000 0.0000 0.7563 1
Sc4 0.0000 0.0000 0.2437 1
Sc5 0.3333 0.6667 0.9218 1
Sc6 0.6667 0.3333 0.5836 1
Cu1 0.0000 0.0000 0.5000 1
Cu2 0.3333 0.6667 0.1630 1
Cu3 0.6667 0.3333 0.8370 1
Cu4 0.0000 0.0000 0.0000 1
Au1 0.3333 0.6667 0.6687 1
Au2 0.6667 0.3333 0.3313 1
# Offset from the most stable computed form: 0.003 eV per atom
# Final energy: -5.528 eV per atom

***

# GGA-PBE LiDyCdGa, relaxed
data_LiDyCdGa
_cell_length_a 4.9263
_cell_length_b 4.9263
_cell_length_c 4.9263
_cell_angle_alpha 60.00
_cell_angle_beta 60.00
_cell_angle_gamma 60.00
_symmetry_space_group_name_H-M 'P 1'
_symmetry_Int_Tables_number 1
loop_
_symmetry_equiv_pos_as_xyz
'x,y,z'
loop_
_atom_site_label
_atom_site_fract_x
_atom_site_fract_y
_atom_site_fract_z
_atom_site_occupancy
Cd1 0.7500 0.7500 0.7500 1
Li1 0.0000 0.0000 0.0000 1
Ga1 0.2500 0.2500 0.2500 1
Dy1 0.5000 0.5000 0.5000 1
# Final energy: -2.981 eV per atom

***

# GGA-PBE CsRbC2, relaxed
data_CsRbC2
_cell_length_a 5.2456
_cell_length_b 5.2456
_cell_length_c 5.2456
_cell_angle_alpha 60.00
_cell_angle_beta 60.00
_cell_angle_gamma 60.00
_symmetry_space_group_name_H-M 'P 1'
_symmetry_Int_Tables_number 1
loop_
_symmetry_equiv_pos_as_xyz
'x,y,z'
loop_
_atom_site_label
_atom_site_fract_x
_atom_site_fract_y
_atom_site_fract_z
_atom_site_occupancy
Cs1 0.5000 0.5000 0.5000 1
C1 0.2500 0.2500 0.2500 1
C2 0.7500 0.7500 0.7500 1
Rb1 0.0000 0.0000 0.0000 1
# Offset from the most stable computed form: 2.138 eV per atom
# Final energy: -2.623 eV per atom

***

no.,energy relative to the elements (eV per atom),magnetic moment (μB/f.u.)
1,-0.45,0.0
2,-0.37,0.0
3,2.44,6.0